VASP calculation (PBE) on an optimized crystal structure of KCo2BiCl8.

The structure in POSCAR format:
```
KCo2BiCl8
1.0
3.243 1.872 9.642
-3.243 1.872 9.642
0.000 -3.744 9.642
K Co Bi Cl
1 2 1 8
Cartesian
0.000 0.000 0.000
0.000 0.000 7.193
0.000 0.000 21.733
0.000 0.000 14.463
-1.096 -1.936 12.835
-2.225 -0.019 16.090
0.000 0.000 9.374
-1.129 1.917 12.835
1.129 -1.917 16.090
0.000 0.000 19.551
2.225 0.019 12.835
1.096 1.936 16.090
```

Results
Calculated volume ... 29.27 Å³/atom
DFT total energy ... -3.7434 eV/atom
Formation energy from raw total energies ... -0.9132 eV/atom
Magnetic moment ... 0.500 μB per atom
Symmetry ... R-3

VASP calculation (PBE) on an optimized crystal structure of BaPu2Te4.

The structure in POSCAR format:
```
BaPu2Te4
1.0
2.282 -7.299 0.000
2.282 7.299 0.000
0.000 0.000 15.378
Ba Pu Te
2 4 8
Cartesian
2.282 5.716 11.533
2.282 -5.716 3.844
2.282 1.957 8.645
2.282 1.957 14.421
2.282 -1.957 0.956
2.282 -1.957 6.733
0.000 0.000 0.000
0.000 0.000 7.689
2.282 3.401 1.787
2.282 3.401 5.902
2.282 1.016 11.533
2.282 -1.016 3.844
2.282 -3.401 9.475
2.282 -3.401 13.591
```

Results
Calculated volume ... 36.59 Å³/atom
DFT total energy ... -7.3853 eV/atom
Formation energy from raw total energies ... -1.2205 eV/atom
Magnetic moment ... 1.429 μB per atom
Symmetry ... Cmcm

VASP calculation (PBE) on an optimized crystal structure of Nd5PdAu4.

The structure in POSCAR format:
```
Nd5PdAu4
1.0
3.681 0.000 0.000
0.000 3.681 0.000
0.000 0.000 18.665
Nd Pd Au
5 1 4
Cartesian
0.000 0.000 0.000
0.000 0.000 3.772
0.000 0.000 7.545
0.000 0.000 11.121
0.000 0.000 14.894
1.840 1.840 9.333
1.840 1.840 1.888
1.840 1.840 5.667
1.840 1.840 12.999
1.840 1.840 16.777
```

Results
E_form ... -755 meV/atom
Calculated volume ... 25.29 Å³/atom
DFT total energy ... -4.9686 eV/atom
Magnetic moment ... 0.000 μB per atom
Symmetry ... P4/mmm